Tb2DyPu | PBE | relaxed

Cell: 3.497 3.497 10.030 Å, 90.00 90.00 90.00°
Space group P4/mmm (No. 123)
Symmetry-distinct sites (fractional):
Tb  0.000  0.000  0.245 (multiplicity 2)
Dy  0.500  0.500  0.500 (multiplicity 1)
Pu  0.500  0.500  0.000 (multiplicity 1)

Summary:
Spin magnetization, μB per atom: 1.535
Formation energy from the elements, eV/atom: 0.10